(1)
# LaMgTl2 PBE relaxed
data_LaMgTl2
_chemical_formula_sum 'La2 Mg2 Tl4'
_symmetry_space_group_name_H-M 'P 1'
_symmetry_Int_Tables_number 1
_symmetry_space_group_name_Hall 'P 1'
_cell_length_a 6.9295
_cell_length_b 6.9400
_cell_length_c 4.6729
_cell_angle_alpha 90.00
_cell_angle_beta 90.22
_cell_angle_gamma 90.00
loop_
_atom_site_label
_atom_site_type_symbol
_atom_site_fract_x
_atom_site_fract_y
_atom_site_fract_z
La1 La 0.0000 0.0000 0.0000
La2 La 0.5000 0.5000 0.0000
Mg1 Mg 0.0000 0.5000 0.0000
Mg2 Mg 0.5000 0.0000 0.0000
Tl1 Tl 0.2500 0.2500 0.5000
Tl2 Tl 0.2500 0.7500 0.5000
Tl3 Tl 0.7500 0.2500 0.5000
Tl4 Tl 0.7500 0.7500 0.5000
# VASP energy = -24.96 eV per cell
# ΔH_f (0 K) = -0.3062 eV/atom
# E above lowest polymorph = 0.158 kcal/mol of atoms
# Fermi-level density of states = 0.82 states/eV per atom
# Symmetry = No. 12


(2)
# LaMgTl PBE relaxed
data_LaMgTl
_chemical_formula_sum 'La4 Mg4 Tl4'
_symmetry_space_group_name_H-M 'P 1'
_symmetry_Int_Tables_number 1
_symmetry_space_group_name_Hall 'P 1'
_cell_length_a 4.6150
_cell_length_b 4.6150
_cell_length_c 16.6101
_cell_angle_alpha 90.00
_cell_angle_beta 90.00
_cell_angle_gamma 90.00
loop_
_atom_site_label
_atom_site_type_symbol
_atom_site_fract_x
_atom_site_fract_y
_atom_site_fract_z
La1 La 0.0000 0.0000 0.1688
La2 La 0.0000 0.0000 0.8312
La3 La 0.5000 0.5000 0.3312
La4 La 0.5000 0.5000 0.6688
Mg1 Mg 0.0000 0.5000 0.0000
Mg2 Mg 0.0000 0.5000 0.5000
Mg3 Mg 0.5000 0.0000 0.0000
Mg4 Mg 0.5000 0.0000 0.5000
Tl1 Tl 0.0000 0.0000 0.3744
Tl2 Tl 0.0000 0.0000 0.6256
Tl3 Tl 0.5000 0.5000 0.1256
Tl4 Tl 0.5000 0.5000 0.8744
# VASP energy = -39.20 eV per cell
# ΔH_f (0 K) = -0.3039 eV/atom
# Fermi-level density of states = 1.17 states/eV per atom
# Symmetry = No. 139


(3)
# La3Mg7Tl4 PBE relaxed
data_La3Mg7Tl4
_chemical_formula_sum 'La3 Mg7 Tl4'
_symmetry_space_group_name_H-M 'P 1'
_symmetry_Int_Tables_number 1
_symmetry_space_group_name_Hall 'P 1'
_cell_length_a 9.2204
_cell_length_b 9.2204
_cell_length_c 10.7579
_cell_angle_alpha 124.70
_cell_angle_beta 124.70
_cell_angle_gamma 30.44
loop_
_atom_site_label
_atom_site_type_symbol
_atom_site_fract_x
_atom_site_fract_y
_atom_site_fract_z
La1 La 0.0000 0.0000 0.0000
La2 La 0.2994 0.2994 0.2943
La3 La 0.7006 0.7006 0.7057
Mg1 Mg 0.0000 0.0000 0.5000
Mg2 Mg 0.1556 0.1556 0.4300
Mg3 Mg 0.3336 0.3336 0.9830
Mg4 Mg 0.4942 0.4942 0.6834
Mg5 Mg 0.5058 0.5058 0.3166
Mg6 Mg 0.6664 0.6664 0.0170
Mg7 Mg 0.8444 0.8444 0.5700
Tl1 Tl 0.1300 0.1300 0.8465
Tl2 Tl 0.3511 0.3511 0.7356
Tl3 Tl 0.6489 0.6489 0.2644
Tl4 Tl 0.8700 0.8700 0.1535
# VASP energy = -39.11 eV per cell
# ΔH_f (0 K) = -0.2646 eV/atom
# Fermi-level density of states = 0.45 states/eV per atom
# Symmetry = No. 12


(4)
# La12MgTl3 PBE relaxed
data_La12MgTl3
_chemical_formula_sum 'La12 Mg1 Tl3'
_symmetry_space_group_name_H-M 'P 1'
_symmetry_Int_Tables_number 1
_symmetry_space_group_name_Hall 'P 1'
_cell_length_a 5.0951
_cell_length_b 5.0951
_cell_length_c 20.2620
_cell_angle_alpha 90.00
_cell_angle_beta 90.00
_cell_angle_gamma 90.00
loop_
_atom_site_label
_atom_site_type_symbol
_atom_site_fract_x
_atom_site_fract_y
_atom_site_fract_z
La1 La 0.0000 0.0000 0.0000
La2 La 0.0000 0.0000 0.2498
La3 La 0.0000 0.0000 0.5000
La4 La 0.0000 0.0000 0.7502
La5 La 0.0000 0.5000 0.1244
La6 La 0.0000 0.5000 0.3735
La7 La 0.0000 0.5000 0.6265
La8 La 0.0000 0.5000 0.8756
La9 La 0.5000 0.0000 0.1244
La10 La 0.5000 0.0000 0.3735
La11 La 0.5000 0.0000 0.6265
La12 La 0.5000 0.0000 0.8756
Mg1 Mg 0.5000 0.5000 0.5000
Tl1 Tl 0.5000 0.5000 0.0000
Tl2 Tl 0.5000 0.5000 0.2494
Tl3 Tl 0.5000 0.5000 0.7506
# VASP energy = -70.83 eV per cell
# ΔH_f (0 K) = -0.1877 eV/atom
# Fermi-level density of states = 1.51 states/eV per atom
# Symmetry = No. 123